Na2PS5 after structural relaxation, computed with PBE-GGA.

E above lowest polymorph   0.00 kcal/mol of atoms
Calculated volume   218.2 Å³ per cell
ΔE_f (raw)   -0.48 eV/atom
Final energy   -32.550 eV per formula unit

Unit cell a=5.510 b=6.681 c=6.761 alpha=70.78 beta=68.29 gamma=84.66
Space group P1 (No. 1)
One atom of each set of equivalent atoms:
Na 0.000 0.000 0.000 x1
Na 0.243 0.605 0.558 x1
P 0.925 0.385 0.223 x1
S 0.178 0.037 0.550 x1
S 0.293 0.382 0.994 x1
S 0.763 0.401 0.989 x1
S 0.841 0.082 0.475 x1
S 0.843 0.621 0.359 x1